Density functional theory data (PBE with a Hubbard U) for NpV2FeO6 after structural relaxation.

Unit cell a=5.3340 b=5.3586 c=5.7274 alpha=62.35 beta=63.11 gamma=60.21
Closest atoms and distances in Å follow each position.
Fractional coordinates of all 10 atoms:
Np  0.0000  0.0000  0.0000  6 O 2.17-2.23
V  0.3011  0.2993  0.1008  6 O 2.11-2.15
V  0.7933  0.7969  0.6143  6 O 1.99-2.17
Fe  0.5020  0.4970  0.4938  6 O 2.07-2.31
O  0.0716  0.6846  0.8186  2 V 1.99-2.13, 1 Np 2.17
O  0.1869  0.5854  0.3220  1 Fe 2.07, 2 V 2.12-2.17, 1 Np 2.23
O  0.4239  0.0726  0.8178  2 V 2.01-2.15, 1 Np 2.17
O  0.5944  0.9102  0.3163  2 V 2.11, 1 Fe 2.17, 1 Np 2.21
O  0.6792  0.4268  0.8077  2 V 2.02-2.14, 1 Fe 2.20, 1 Np 2.20
O  0.9140  0.1807  0.3146  2 V 2.11-2.15, 1 Fe 2.15, 1 Np 2.20

Properties
electronic total energy = -8.467 eV/atom
Fermi-level density of states = 0.728 states/eV/atom